HgAs2PbBr after structural relaxation. Source: the Alexandria database, functional PBE. Values from VASP.

Calculated values
- total moment (μB/cell) = 0.847
- uncorrected formation energy (eV per atom) = 0.5212
- symmetry = P4/mmm, No. 123

```
&SYSTEM
  ibrav = 0, nat = 5, ntyp = 4
/
ATOMIC_SPECIES
As 74.92 As.upf
Pb 207.20 Pb.upf
Br 79.90 Br.upf
Hg 200.59 Hg.upf
CELL_PARAMETERS angstrom
-0.682 -3.513 -3.715
4.284 1.654 -2.350
3.185 -3.875 3.079
ATOMIC_POSITIONS crystal
As 0.000 0.500 0.000
Pb 0.500 0.500 0.500
As 0.500 0.000 0.000
Br 0.000 0.000 0.500
Hg 0.000 0.000 0.000
```

PmCdNiPb after structural relaxation. Source: the Alexandria database, functional PBE. Values from VASP.

Calculated values
- DFT formation energy (eV/atom) = -0.13
- total moment (μB/cell) = 0.000
- symmetry = F-43m, No. 216

```
&SYSTEM
  ibrav = 0, nat = 4, ntyp = 4
/
ATOMIC_SPECIES
Ni 58.69 Ni.upf
Pm 145.00 Pm.upf
Cd 112.41 Cd.upf
Pb 207.20 Pb.upf
CELL_PARAMETERS angstrom
5.034 0.000 0.000
2.517 4.360 0.000
2.517 1.453 4.111
ATOMIC_POSITIONS crystal
Ni 0.000 0.000 0.000
Pm 0.250 0.250 0.250
Cd 0.500 0.500 0.500
Pb 0.750 0.750 0.750
```

DyYMnIr after structural relaxation. Source: the Alexandria database, functional PBE. Values from VASP.

Calculated values
- DFT formation energy (eV/atom) = -0.29
- total moment (μB/cell) = 3.333
- symmetry = F-43m, No. 216

```
&SYSTEM
  ibrav = 0, nat = 4, ntyp = 4
/
ATOMIC_SPECIES
Y 88.91 Y.upf
Mn 54.94 Mn.upf
Dy 162.50 Dy.upf
Ir 192.22 Ir.upf
CELL_PARAMETERS angstrom
4.921 0.000 0.000
2.460 4.261 0.000
2.460 1.420 4.018
ATOMIC_POSITIONS crystal
Y 0.250 0.250 0.250
Mn 0.500 0.500 0.500
Dy 0.750 0.750 0.750
Ir 0.000 0.000 0.000
```

Cd2HgTe after structural relaxation. Source: the Alexandria database, functional PBE. Values from VASP.

Calculated values
- total moment (μB/cell) = 0.000
- uncorrected formation energy (eV per atom) = -0.0654
- symmetry = Imm2, No. 44

```
&SYSTEM
  ibrav = 0, nat = 4, ntyp = 3
/
ATOMIC_SPECIES
Te 127.60 Te.upf
Cd 112.41 Cd.upf
Hg 200.59 Hg.upf
CELL_PARAMETERS angstrom
-5.157 4.579 -1.504
-5.953 -0.785 -3.710
4.166 -2.535 5.103
ATOMIC_POSITIONS crystal
Te 0.215 0.715 0.500
Cd 0.791 0.291 0.500
Hg 0.465 0.465 0.000
Cd 0.028 0.028 0.000
```

DyCu3Rh4O12 after structural relaxation. Source: the Alexandria database, functional PBE. Values from VASP.

Calculated values
- total moment (μB/cell) = 0.000
- uncorrected formation energy (eV per atom) = -1.0222
- symmetry = Im-3, No. 204

```
&SYSTEM
  ibrav = 0, nat = 20, ntyp = 4
/
ATOMIC_SPECIES
O 16.00 O.upf
Rh 102.91 Rh.upf
Cu 63.55 Cu.upf
Dy 162.50 Dy.upf
CELL_PARAMETERS angstrom
-3.172 -2.895 -4.881
5.752 2.156 -2.130
0.933 -4.270 4.813
ATOMIC_POSITIONS crystal
O 0.698 0.838 0.536
Rh 0.000 0.500 0.000
Cu 0.500 0.000 0.500
O 0.302 0.838 0.140
Rh 0.500 0.000 0.000
O 0.162 0.464 0.302
O 0.464 0.302 0.162
Cu 0.000 0.500 0.500
O 0.140 0.302 0.838
O 0.860 0.698 0.162
Rh 0.000 0.000 0.500
O 0.162 0.860 0.698
O 0.536 0.698 0.838
Rh 0.500 0.500 0.500
O 0.302 0.162 0.464
O 0.838 0.536 0.698
O 0.698 0.162 0.860
Dy 0.000 0.000 0.000
Cu 0.500 0.500 0.000
O 0.838 0.140 0.302
```

DyScSi2Ru after structural relaxation. Source: the Alexandria database, functional PBE. Values from VASP.

Calculated values
- total moment (μB/cell) = 0.000
- uncorrected formation energy (eV per atom) = -0.8028
- symmetry = I-4m2, No. 119

```
&SYSTEM
  ibrav = 0, nat = 5, ntyp = 4
/
ATOMIC_SPECIES
Si 28.09 Si.upf
Sc 44.96 Sc.upf
Dy 162.50 Dy.upf
Ru 101.07 Ru.upf
CELL_PARAMETERS angstrom
-0.540 -3.961 -0.158
3.730 -0.454 -1.375
0.309 1.735 6.086
ATOMIC_POSITIONS crystal
Si 0.397 0.397 0.793
Sc 0.750 0.250 0.500
Dy 0.000 0.000 0.000
Si 0.603 0.603 0.207
Ru 0.250 0.750 0.500
```

CaTmPtAu after structural relaxation. Source: the Alexandria database, functional PBE. Values from VASP.

Calculated values
- DFT formation energy (eV/atom) = -0.95
- total moment (μB/cell) = 0.000
- symmetry = F-43m, No. 216

```
&SYSTEM
  ibrav = 0, nat = 4, ntyp = 4
/
ATOMIC_SPECIES
Ca 40.08 Ca.upf
Au 196.97 Au.upf
Tm 168.93 Tm.upf
Pt 195.08 Pt.upf
CELL_PARAMETERS angstrom
-2.019 1.533 4.275
-4.252 -2.015 1.604
0.010 -2.994 3.968
ATOMIC_POSITIONS crystal
Ca 0.750 0.750 0.750
Au 0.500 0.500 0.500
Tm 0.250 0.250 0.250
Pt 0.000 0.000 0.000
```

Lu2ScH after structural relaxation. Source: the Alexandria database, functional PBE. Values from VASP.

Calculated values
- total moment (μB/cell) = 0.000
- calculated total energy (eV/cell) = -18.3
- symmetry = P4/mmm, No. 123

```
&SYSTEM
  ibrav = 0, nat = 4, ntyp = 3
/
ATOMIC_SPECIES
Lu 174.97 Lu.upf
Sc 44.96 Sc.upf
H 1.01 H.upf
CELL_PARAMETERS angstrom
-0.808 0.561 3.053
-0.819 -3.081 0.349
7.500 -1.733 2.303
ATOMIC_POSITIONS crystal
Lu 0.000 0.000 0.802
Sc 0.500 0.500 0.500
H 0.500 0.500 0.000
Lu 0.000 0.000 0.198
```

HoAl3Cl12 after structural relaxation. Source: the Alexandria database, functional PBE. Values from VASP.

Calculated values
- total moment (μB/cell) = 0.072
- uncorrected formation energy (eV per atom) = -1.7126
- symmetry = P3_112, No. 151

```
&SYSTEM
  ibrav = 0, nat = 48, ntyp = 3
/
ATOMIC_SPECIES
Cl 35.45 Cl.upf
Ho 164.93 Ho.upf
Al 26.98 Al.upf
CELL_PARAMETERS angstrom
-5.311 -4.530 -8.471
9.442 -4.353 3.520
-8.240 -9.560 10.278
ATOMIC_POSITIONS crystal
Cl 0.825 0.972 0.204
Cl 0.094 0.763 0.950
Ho 0.513 0.487 0.333
Cl 0.781 0.212 0.944
Cl 0.434 0.949 0.040
Cl 0.141 0.644 0.125
Cl 0.051 0.485 0.373
Cl 0.094 0.332 0.050
Al 0.636 0.853 0.269
Cl 0.503 0.859 0.792
Al 0.721 0.443 0.167
Cl 0.141 0.497 0.875
Cl 0.028 0.175 0.463
Al 0.147 0.364 0.398
Cl 0.824 0.323 0.146
Ho 0.513 0.027 0.667
Cl 0.788 0.569 0.278
Cl 0.824 0.502 0.854
Al 0.636 0.782 0.731
Cl 0.431 0.219 0.611
Cl 0.498 0.176 0.812
Al 0.147 0.782 0.602
Al 0.721 0.279 0.833
Cl 0.788 0.219 0.722
Cl 0.028 0.853 0.537
Cl 0.051 0.566 0.627
Cl 0.515 0.949 0.293
Cl 0.431 0.212 0.389
Cl 0.515 0.566 0.707
Cl 0.668 0.906 0.617
Cl 0.677 0.176 0.521
Cl 0.434 0.485 0.960
Cl 0.781 0.569 0.056
Al 0.557 0.279 0.500
Al 0.218 0.853 0.064
Cl 0.668 0.763 0.383
Cl 0.356 0.497 0.458
Cl 0.237 0.332 0.283
Cl 0.825 0.853 0.796
Ho 0.973 0.487 0.000
Cl 0.237 0.906 0.717
Cl 0.147 0.972 0.130
Cl 0.677 0.502 0.479
Cl 0.147 0.175 0.870
Cl 0.356 0.859 0.542
Cl 0.503 0.644 0.208
Al 0.218 0.364 0.936
Cl 0.498 0.323 0.188
```

EuCdGaAg after structural relaxation. Source: the Alexandria database, functional PBE. Values from VASP.

Calculated values
- DFT formation energy (eV/atom) = -0.28
- total moment (μB/cell) = 7.005
- symmetry = F-43m, No. 216

```
&SYSTEM
  ibrav = 0, nat = 4, ntyp = 4
/
ATOMIC_SPECIES
Ga 69.72 Ga.upf
Ag 107.87 Ag.upf
Eu 151.96 Eu.upf
Cd 112.41 Cd.upf
CELL_PARAMETERS angstrom
-2.528 3.976 1.761
-0.269 0.815 4.956
2.492 3.856 2.053
ATOMIC_POSITIONS crystal
Ga 0.000 0.000 0.000
Ag 0.500 0.500 0.500
Eu 0.250 0.250 0.250
Cd 0.750 0.750 0.750
```

PaBeCdO5 after structural relaxation. Source: the Alexandria database, functional PBE. Values from VASP.

Calculated values
- total moment (μB/cell) = 1.942
- uncorrected formation energy (eV per atom) = -2.3113
- symmetry = C2/c, No. 15

```
&SYSTEM
  ibrav = 0, nat = 16, ntyp = 4
/
ATOMIC_SPECIES
O 16.00 O.upf
Be 9.01 Be.upf
Pa 231.04 Pa.upf
Cd 112.41 Cd.upf
CELL_PARAMETERS angstrom
5.584 0.091 -0.117
-1.544 5.368 -0.117
-1.817 -2.454 7.380
ATOMIC_POSITIONS crystal
O 0.084 0.679 0.847
O 0.895 0.105 0.750
O 0.404 0.266 0.096
Be 0.687 0.313 0.250
O 0.266 0.404 0.596
Pa 0.000 0.000 0.500
Be 0.313 0.687 0.750
Cd 0.646 0.354 0.750
O 0.321 0.916 0.653
Pa 0.000 0.000 0.000
Cd 0.354 0.646 0.250
O 0.916 0.321 0.153
O 0.734 0.596 0.404
O 0.679 0.084 0.347
O 0.596 0.734 0.904
O 0.105 0.895 0.250
```

Co2PbBr after structural relaxation. Source: the Alexandria database, functional PBE. Values from VASP.

Calculated values
- total moment (μB/cell) = 3.081
- uncorrected formation energy (eV per atom) = 0.3696
- symmetry = C2/m, No. 12

```
&SYSTEM
  ibrav = 0, nat = 4, ntyp = 3
/
ATOMIC_SPECIES
Co 58.93 Co.upf
Pb 207.20 Pb.upf
Br 79.90 Br.upf
CELL_PARAMETERS angstrom
-2.495 -3.765 2.306
-1.202 -4.893 -0.570
2.790 -6.037 3.623
ATOMIC_POSITIONS crystal
Co 0.550 0.550 0.620
Co 0.950 0.950 0.880
Pb 0.750 0.750 0.750
Br 0.250 0.250 0.250
```

> total moment of number 5 (DyCu3Rh4O12)?

0.000 μB/cell